CrPtPb2 | Alexandria | PBE-GGA | relaxed; space-group type = No. 122; offset from the most stable computed form = 257 meV per atom; ΔH_f (0 K) = 1.499 eV per formula unit; size of the total moment = 8.29 Bohr magnetons per cell
1.0
7.940 0.000 0.000
0.000 7.940 0.000
3.970 3.970 3.042
Pb Pt Cr
4 2 2
direct
0.651 0.125 0.250
0.375 0.349 0.750
0.099 0.625 0.250
0.875 0.901 0.750
0.750 0.250 0.500
0.000 0.000 0.000
0.250 0.750 0.500
0.500 0.500 0.000